#w
PBE Sm3Y2Er3, optimized geometry; space-group type = No. 59; crystal system = orthorhombic; density of states at the Fermi level = 14.19 states/eV/f.u.
1.0
-4.5611 0.2968 -4.3391
3.7205 -1.4974 -4.0125
-3.1390 -14.0637 2.3377
Sm Y Er
6 4 6
Cartesian
-1.3843 -2.6304 -6.3143 Sm
-1.8088 -9.1099 -0.2852 Sm
-2.1709 -6.1544 -5.7286 Sm
-1.1058 -11.5711 -2.7263 Sm
-2.8739 -3.6932 -3.2875 Sm
-2.5954 -12.6339 0.3005 Sm
-2.9748 -9.6455 -5.1766 Y
-0.2112 -2.0629 -1.4283 Y
-3.7685 -13.2014 -4.5855 Y
-1.0049 -5.6188 -0.8372 Y
-5.2406 -14.2304 -1.5542 Er
-4.4789 -10.7240 -2.1598 Er
-3.6757 -7.2193 -2.7196 Er
1.2609 -1.0339 -4.4596 Er
-0.3040 -8.0450 -3.2942 Er
0.4992 -4.5403 -3.8540 Er



#x
PBE Sm3Y2Er3, optimized geometry; space-group type = No. 71; crystal system = orthorhombic; density of states at the Fermi level = 11.80 states/eV/f.u.
1.0
-2.1907 -4.0989 -1.9439
1.2095 -2.6136 4.1479
-8.2849 6.0330 3.1436
Er Sm Y
3 3 2
Cartesian
-2.6834 -2.6874 2.1629 Er
-6.5827 2.0079 3.1847 Er
-1.0954 -2.0494 -0.9720 Er
-7.0929 -1.3424 4.2962 Sm
0.6048 -1.3068 2.0740 Sm
-2.1732 0.6629 1.0514 Sm
-3.7744 0.0289 4.1926 Y
-5.4917 -0.7085 1.1550 Y



Which of them is the most stable? Correct choice: #w.